Compound: CaNi2O4
Source: Alexandria
Functional: GGA+U
Structure: optimized geometry

a b c (Å): 5.6490 5.6490 4.8803
angles (deg): 99.25 99.25 31.88
Positions (direct):
Ca 0.0000 0.0000 0.0000
Ni 0.2481 0.2481 0.7444
Ni 0.7519 0.7519 0.2556
O 0.1565 0.1565 0.3862
O 0.3508 0.3508 0.0970
O 0.6492 0.6492 0.9030
O 0.8435 0.8435 0.6138

Properties
The value obtained for the volume is 81.10 Å³/cell. As for the distance to the lowest polymorph of the same formula: 3.8 kJ per mole of atoms. As for the total energy: -36.475 eV per cell.